No. 1
First-principles (GGA-PBE) data for a relaxed KLaPb2 crystal, as listed in Alexandria.

Summary:
For the formation energy, the calculation gives -0.37 eV/atom. As for the space-group type: No. 123. The value obtained for the offset from the most stable computed form is 12 meV/atom.

Cell: 3.651 3.651 10.208 Å, 90.00 90.00 90.00°
Element x y z (fractional)
K1 0.000 0.000 0.000
La1 0.000 0.000 0.500
Pb1 0.500 0.500 0.267
Pb2 0.500 0.500 0.733

No. 2
First-principles (GGA-PBE) data for a relaxed KLaPb2 crystal, as listed in Alexandria.

Summary:
For the formation energy, the calculation gives -0.30 eV/atom. As for the space-group type: No. 12. The value obtained for the offset from the most stable computed form is 79 meV/atom.

Cell: 7.576 9.978 3.487 Å, 90.00 90.36 90.00°
Element x y z (fractional)
K1 0.000 0.000 0.000
K2 0.500 0.500 0.000
La1 0.000 0.500 0.000
La2 0.500 0.000 0.000
Pb1 0.250 0.250 0.500
Pb2 0.250 0.750 0.500
Pb3 0.750 0.250 0.500
Pb4 0.750 0.750 0.500

No. 3
First-principles (GGA-PBE) data for a relaxed KLa3Pb crystal, as listed in Alexandria.

Summary:
For the formation energy, the calculation gives 0.83 eV/atom. As for the space-group type: No. 221. The value obtained for the offset from the most stable computed form is 579 meV/atom.

Cell: 5.562 5.562 5.562 Å, 90.00 90.00 90.00°
Element x y z (fractional)
K1 0.000 0.000 0.000
La1 0.000 0.000 0.500
La2 0.000 0.500 0.000
La3 0.500 0.000 0.000
Pb1 0.500 0.500 0.500

No. 4
First-principles (GGA-PBE) data for a relaxed KLaPb3 crystal, as listed in Alexandria.

Summary:
For the formation energy, the calculation gives 0.19 eV/atom. As for the space-group type: No. 221. The value obtained for the offset from the most stable computed form is 0 meV/atom.

Cell: 6.213 6.213 6.213 Å, 90.00 90.00 90.00°
Element x y z (fractional)
K1 0.000 0.000 0.000
La1 0.500 0.500 0.500
Pb1 0.000 0.500 0.500
Pb2 0.500 0.000 0.500
Pb3 0.500 0.500 0.000

No. 5
First-principles (GGA-PBE) data for a relaxed KLaPb crystal, as listed in Alexandria.

Summary:
For the formation energy, the calculation gives -0.09 eV/atom. As for the space-group type: No. 156. The value obtained for the offset from the most stable computed form is 45 meV/atom.

Cell: 5.633 5.633 3.883 Å, 90.00 90.00 120.00°
Element x y z (fractional)
K1 0.000 0.000 0.000
La1 0.667 0.333 0.381
Pb1 0.333 0.667 0.631

No. 6
First-principles (GGA-PBE) data for a relaxed KLaPb2 crystal, as listed in Alexandria.

Summary:
For the formation energy, the calculation gives -0.27 eV/atom. As for the space-group type: No. 139. The value obtained for the offset from the most stable computed form is 105 meV/atom.

Cell: 5.171 5.171 9.815 Å, 90.00 90.00 90.00°
Element x y z (fractional)
K1 0.000 0.000 0.000
K2 0.500 0.500 0.500
La1 0.000 0.000 0.500
La2 0.500 0.500 0.000
Pb1 0.000 0.500 0.250
Pb2 0.000 0.500 0.750
Pb3 0.500 0.000 0.250
Pb4 0.500 0.000 0.750

No. 7
First-principles (GGA-PBE) data for a relaxed KLaPb crystal, as listed in Alexandria.

Summary:
For the formation energy, the calculation gives -0.11 eV/atom. As for the space-group type: No. 216. The value obtained for the offset from the most stable computed form is 28 meV/atom.

Cell: 7.973 7.973 7.973 Å, 90.00 90.00 90.00°
Element x y z (fractional)
K1 0.000 0.000 0.000
K2 0.000 0.500 0.500
K3 0.500 0.000 0.500
K4 0.500 0.500 0.000
La1 0.000 0.000 0.500
La2 0.000 0.500 0.000
La3 0.500 0.000 0.000
La4 0.500 0.500 0.500
Pb1 0.250 0.250 0.250
Pb2 0.250 0.750 0.750
Pb3 0.750 0.250 0.750
Pb4 0.750 0.750 0.250

No. 8
First-principles (GGA-PBE) data for a relaxed KLaPb2 crystal, as listed in Alexandria.

Summary:
For the formation energy, the calculation gives -0.23 eV/atom. As for the space-group type: No. 225. The value obtained for the offset from the most stable computed form is 144 meV/atom.

Cell: 8.149 8.149 8.149 Å, 90.00 90.00 90.00°
Element x y z (fractional)
K1 0.000 0.000 0.000
K2 0.000 0.500 0.500
K3 0.500 0.000 0.500
K4 0.500 0.500 0.000
La1 0.000 0.000 0.500
La2 0.000 0.500 0.000
La3 0.500 0.000 0.000
La4 0.500 0.500 0.500
Pb1 0.250 0.250 0.250
Pb2 0.250 0.250 0.750
Pb3 0.250 0.750 0.250
Pb4 0.250 0.750 0.750
Pb5 0.750 0.250 0.250
Pb6 0.750 0.250 0.750
Pb7 0.750 0.750 0.250
Pb8 0.750 0.750 0.750